! PBE+U Na3FeNi2O6, optimized geometry; values from VASP
! Uncorrected energy, eV/atom: -4.970
&SYSTEM
  ibrav = 0, nat = 12, ntyp = 4
/
ATOMIC_SPECIES
Na 22.99 Na.upf
Fe 55.84 Fe.upf
Ni 58.69 Ni.upf
O 16.00 O.upf
CELL_PARAMETERS angstrom
2.688 -4.381 0.000
2.688 4.381 0.000
-1.956 0.000 5.348
ATOMIC_POSITIONS angstrom
Na 0.000 0.000 0.000
Na 2.688 1.479 0.000
Na 2.688 -1.479 0.000
Fe 1.710 0.000 2.674
Ni 1.710 2.916 2.674
Ni 1.710 -2.916 2.674
O 0.935 1.506 1.591
O -0.183 0.000 3.697
O 0.935 -1.506 1.591
O 2.485 1.506 3.757
O 3.603 0.000 1.651
O 2.485 -1.506 3.757